DFT (PBE) results for La2Sm6Tm3Mg after structural relaxation.

Lattice parameters (Å, degrees): 6.207 6.207 11.859 95.06 95.06 120.06
Element x y z (fractional)
La (0.333, 0.667, 0.000)
La (0.667, 0.333, 0.000)
Sm (0.916, 0.586, 0.745)
Sm (0.754, 0.754, 0.256)
Sm (0.084, 0.414, 0.255)
Sm (0.586, 0.916, 0.745)
Sm (0.246, 0.246, 0.744)
Sm (0.414, 0.084, 0.255)
Tm (0.166, 0.834, 0.500)
Tm (0.834, 0.166, 0.500)
Tm (0.500, 0.500, 0.500)
Mg (0.000, 0.000, 0.000)

Calculated values
For the total magnetic moment, the calculation gives 0.00 μB per cell. As for the space-group type: No. 12. The calculation puts the total energy at -53.00 eV for the cell shown.